(1)
Entry from the Alexandria database: Ho6Cd2Ru after structural relaxation (PBE-GGA).

The calculation puts the density of states at the Fermi level at 18.11 states/eV/cell.

Unit cell a=6.8072 b=7.3123 c=12.2462 alpha=90.00 beta=122.10 gamma=90.00
Space group P2_1/c (No. 14)
Symmetry-distinct sites (fractional):
Ho1 0.1533 0.1867 0.4606 x4
Ho2 0.2871 0.6973 0.4630 x4
Ho3 0.3437 0.0017 0.2501 x4
Cd1 0.1992 0.0871 0.7483 x4
Ru1 0.0000 0.0000 0.0000 x2


(2)
Entry from the Alexandria database: Ho6CdRu5 after structural relaxation (PBE-GGA).

The calculation puts the density of states at the Fermi level at 6.17 states/eV/cell.

Unit cell a=4.8569 b=6.9048 c=7.6398 alpha=90.00 beta=108.43 gamma=90.00
Space group P2/m (No. 10)
Symmetry-distinct sites (fractional):
Ho1 0.0000 0.2345 0.0000 x2
Ho2 0.3273 0.2443 0.6547 x4
Cd1 0.5000 0.5000 0.0000 x1
Ru1 0.1634 0.5000 0.3266 x2
Ru2 0.1663 0.0000 0.3325 x2
Ru3 0.5000 0.0000 0.0000 x1


Number 1: energy relative to the elements -0.169 eV per atom, uncorrected energy -80.19 eV for the cell shown. Number 2: energy relative to the elements -0.374 eV per atom, uncorrected energy -79.25 eV for the cell shown.